# SbTe2Br PBE-GGA relaxed
data_SbTe2Br
_chemical_formula_sum 'Sb1 Te2 Br1'
_cell_length_a 4.0532
_cell_length_b 4.0532
_cell_length_c 7.5928
_cell_angle_alpha 90.00
_cell_angle_beta 90.00
_cell_angle_gamma 90.00
_space_group_name_H-M_alt 'P 1'
_space_group_IT_number 1
loop_
_space_group_symop_operation_xyz
'x,y,z'
loop_
_atom_site_label
_atom_site_fract_x
_atom_site_fract_y
_atom_site_fract_z
Br1 0.0000 0.0000 0.5203
Sb1 0.5000 0.5000 0.8036
Te1 0.5000 0.5000 0.1865
Te2 0.0000 0.0000 0.9896
# Total magnetization: 0.0 Bohr magnetons per cell
# ΔE_f (raw): 0.5 eV per formula unit
# N(E_F): 0.836 states/eV/atom
# E_tot: -11.60 eV for the cell shown

***

# RbCu2IrBr8 PBE-GGA relaxed
data_RbCu2IrBr8
_chemical_formula_sum 'Rb1 Cu2 Ir1 Br8'
_cell_length_a 6.5469
_cell_length_b 6.5469
_cell_length_c 9.6822
_cell_angle_alpha 90.00
_cell_angle_beta 90.00
_cell_angle_gamma 120.00
_space_group_name_H-M_alt 'P 1'
_space_group_IT_number 1
loop_
_space_group_symop_operation_xyz
'x,y,z'
loop_
_atom_site_label
_atom_site_fract_x
_atom_site_fract_y
_atom_site_fract_z
Ir1 0.0000 0.0000 0.5000
Br1 0.6667 0.3333 0.0388
Br2 0.2989 0.3197 0.3478
Br3 0.0207 0.7011 0.3478
Br4 0.9793 0.2989 0.6522
Br5 0.7011 0.6803 0.6522
Br6 0.6803 0.9793 0.3478
Br7 0.3197 0.0207 0.6522
Br8 0.3333 0.6667 0.9612
Cu1 0.3333 0.6667 0.7178
Cu2 0.6667 0.3333 0.2822
Rb1 0.0000 0.0000 0.0000
# Total magnetization: 1.9 Bohr magnetons per cell
# ΔE_f (raw): -5.8 eV per formula unit
# N(E_F): 1.429 states/eV/atom
# E_tot: -37.23 eV for the cell shown

***

# Sr3CrP PBE-GGA relaxed
data_Sr3CrP
_chemical_formula_sum 'Sr3 Cr1 P1'
_cell_length_a 5.8734
_cell_length_b 5.8734
_cell_length_c 5.8734
_cell_angle_alpha 90.00
_cell_angle_beta 90.00
_cell_angle_gamma 90.00
_space_group_name_H-M_alt 'P 1'
_space_group_IT_number 1
loop_
_space_group_symop_operation_xyz
'x,y,z'
loop_
_atom_site_label
_atom_site_fract_x
_atom_site_fract_y
_atom_site_fract_z
Sr1 0.5000 0.0000 0.0000
Sr2 0.0000 0.0000 0.5000
Sr3 0.0000 0.5000 0.0000
Cr1 0.5000 0.5000 0.5000
P1 0.0000 0.0000 0.0000
# Total magnetization: 5.9 Bohr magnetons per cell
# Formation energy: -0.072 eV per atom
# N(E_F): 0.699 states/eV/atom
# E_tot: -20.44 eV for the cell shown

***

# Ac2AlInHg6 PBE-GGA relaxed
data_Ac2AlInHg6
_chemical_formula_sum 'Ac4 Al2 In2 Hg12'
_cell_length_a 7.8351
_cell_length_b 7.5365
_cell_length_c 9.5911
_cell_angle_alpha 90.00
_cell_angle_beta 90.00
_cell_angle_gamma 90.00
_space_group_name_H-M_alt 'P 1'
_space_group_IT_number 1
loop_
_space_group_symop_operation_xyz
'x,y,z'
loop_
_atom_site_label
_atom_site_fract_x
_atom_site_fract_y
_atom_site_fract_z
In1 0.5000 0.4081 0.0000
In2 0.0000 0.5919 0.5000
Hg1 0.8099 0.5947 0.0000
Hg2 0.8138 0.9662 0.5000
Hg3 0.6862 0.0338 0.0000
Hg4 0.5000 0.2186 0.7473
Hg5 0.0000 0.7814 0.2473
Hg6 0.1901 0.5947 0.0000
Hg7 0.5000 0.2186 0.2527
Hg8 0.3138 0.0338 0.0000
Hg9 0.3099 0.4053 0.5000
Hg10 0.0000 0.7814 0.7527
Hg11 0.6901 0.4053 0.5000
Hg12 0.1862 0.9662 0.5000
Al1 0.0000 0.9341 0.0000
Al2 0.5000 0.0659 0.5000
Ac1 0.5000 0.7364 0.7359
Ac2 0.0000 0.2636 0.2359
Ac3 0.5000 0.7364 0.2641
Ac4 0.0000 0.2636 0.7641
# Total magnetization: 0.0 Bohr magnetons per cell
# Formation energy: -0.203 eV per atom
# N(E_F): 0.722 states/eV/atom
# E_tot: -37.07 eV for the cell shown

***

# Li4GaBr5 PBE-GGA relaxed
data_Li4GaBr5
_chemical_formula_sum 'Li8 Ga2 Br10'
_cell_length_a 4.2366
_cell_length_b 4.2366
_cell_length_c 36.6002
_cell_angle_alpha 90.00
_cell_angle_beta 90.00
_cell_angle_gamma 120.00
_space_group_name_H-M_alt 'P 1'
_space_group_IT_number 1
loop_
_space_group_symop_operation_xyz
'x,y,z'
loop_
_atom_site_label
_atom_site_fract_x
_atom_site_fract_y
_atom_site_fract_z
Br1 0.3333 0.6667 0.4467
Br2 0.6667 0.3333 0.1290
Br3 0.6667 0.3333 0.3553
Br4 0.3333 0.6667 0.6294
Br5 0.6667 0.3333 0.7208
Br6 0.3333 0.6667 0.8121
Br7 0.6667 0.3333 0.5380
Br8 0.3333 0.6667 0.9953
Br9 0.6667 0.3333 0.9030
Br10 0.3333 0.6667 0.2217
Li1 0.3333 0.6667 0.5174
Li2 0.6667 0.3333 0.9733
Li3 0.3333 0.6667 0.8829
Li4 0.6667 0.3333 0.4267
Li5 0.6667 0.3333 0.7917
Li6 0.3333 0.6667 0.7003
Li7 0.6667 0.3333 0.6088
Li8 0.6667 0.3333 0.2003
Ga1 0.3333 0.6667 0.0845
Ga2 0.3333 0.6667 0.3108
# Total magnetization: 0.0 Bohr magnetons per cell
# ΔE_f (raw): -13.2 eV per formula unit
# N(E_F): 0.000 states/eV/atom
# E_tot: -64.47 eV for the cell shown

***

# CsZn2CdAu PBE-GGA relaxed
data_CsZn2CdAu
_chemical_formula_sum 'Cs1 Zn2 Cd1 Au1'
_cell_length_a 5.1499
_cell_length_b 5.1499
_cell_length_c 5.4587
_cell_angle_alpha 90.00
_cell_angle_beta 90.00
_cell_angle_gamma 90.00
_space_group_name_H-M_alt 'P 1'
_space_group_IT_number 1
loop_
_space_group_symop_operation_xyz
'x,y,z'
loop_
_atom_site_label
_atom_site_fract_x
_atom_site_fract_y
_atom_site_fract_z
Au1 0.0000 0.0000 0.0000
Zn1 0.5000 0.0000 0.0000
Zn2 0.0000 0.5000 0.0000
Cd1 0.0000 0.0000 0.5000
Cs1 0.5000 0.5000 0.5000
# Total magnetization: 0.0 Bohr magnetons per cell
# Formation energy: -0.058 eV per atom
# N(E_F): 0.390 states/eV/atom
# E_tot: -7.88 eV for the cell shown